Entry 1:
DFT (GGA-PBE) results for a geometry-optimized YTa2Sn structure.

The space group is I-42d (No. 122) and the conventional cell measures 8.181, 8.181 and 5.740 Å, with angles of 90.00, 90.00 and 90.00 degrees. The asymmetric unit holds Y at (0.000, 0.000, 0.000), Ta at (0.216, 0.750, 0.625) and Sn at (0.000, 0.000, 0.500).

The value obtained for the energy relative to the elements is 0.70 eV per atom. The total magnetic moment is 0.0 Bohr magnetons per cell.

Entry 2:
DFT (GGA-PBE) results for a geometry-optimized LaTbCuPt structure.

The space group is F-43m (No. 216) and the conventional cell measures 7.172, 7.172 and 7.172 Å, with angles of 90.00, 90.00 and 90.00 degrees. The asymmetric unit holds La at (0.000, 0.000, 0.000), Tb at (0.000, 0.000, 0.500), Cu at (0.250, 0.250, 0.250) and Pt at (0.250, 0.250, 0.750).

The value obtained for the energy above the most stable polymorph in this dataset is 0.22 eV/f.u. The value obtained for the energy relative to the elements is -0.67 eV per atom. The total magnetic moment is 0.0 Bohr magnetons per cell.

Entry 3:
DFT (GGA-PBE) results for a geometry-optimized BaP2ClF structure.

The space group is P4/mmm (No. 123) and the conventional cell measures 6.771, 6.771 and 5.812 Å, with angles of 90.00, 90.00 and 90.00 degrees. The asymmetric unit holds Ba at (0.000, 0.000, 0.000), P at (0.000, 0.500, 0.000), Cl at (0.000, 0.000, 0.500) and F at (0.500, 0.500, 0.500).

The value obtained for the energy above the most stable polymorph in this dataset is 4.82 eV/f.u. Its energy relative to the elements, uncorrected is 0.3073 eV/atom. The total magnetic moment is 5.1 Bohr magnetons per cell.

Entry 4:
DFT (GGA-PBE) results for a geometry-optimized TaAs2Pt structure.

The space group is R-3m (No. 166, hexagonal axes) and the conventional cell measures 3.0610, 3.0610 and 25.1744 Å, with angles of 90.00, 90.00 and 120.00 degrees. The asymmetric unit holds Ta at (0.0000, 0.0000, 0.0000), As at (0.0000, 0.0000, 0.2508) and Pt at (0.0000, 0.0000, 0.5000).

The value obtained for the energy above the most stable polymorph in this dataset is 1.21 eV/f.u. The value obtained for the energy relative to the elements is 0.00 eV per atom. The total magnetic moment is 0.0 Bohr magnetons per cell.

Entry 5:
DFT (GGA-PBE) results for a geometry-optimized CdWAu2 structure.

The space group is R-3m (No. 166, hexagonal axes) and the conventional cell measures 2.9221, 2.9221 and 29.1052 Å, with angles of 90.00, 90.00 and 120.00 degrees. The asymmetric unit holds Cd at (0.0000, 0.0000, 0.0000), W at (0.0000, 0.0000, 0.5000) and Au at (0.0000, 0.0000, 0.2462).

The value obtained for the energy above the most stable polymorph in this dataset is 0.15 eV/f.u. The value obtained for the energy relative to the elements is 0.22 eV per atom. The total magnetic moment is 0.0 Bohr magnetons per cell.

Entry 6:
DFT (GGA-PBE) results for a geometry-optimized TbMg2InSn structure.

The space group is Cmcm (No. 63) and the conventional cell measures 3.524, 17.602 and 8.869 Å, with angles of 90.00, 90.00 and 90.00 degrees. The asymmetric unit holds Tb at (0.000, 0.088, 0.250), Mg at (0.000, 0.335, 0.052), In at (0.000, 0.500, 0.000) and Sn at (0.000, 0.255, 0.750).

The value obtained for the energy relative to the elements is -0.20 eV per atom. The total magnetic moment is 0.0 Bohr magnetons per cell.

Entry 7:
DFT (GGA-PBE) results for a geometry-optimized Pm3Hg2Rh structure.

The space group is Cmmm (No. 65) and the conventional cell measures 5.197, 15.683 and 7.546 Å, with angles of 90.00, 90.00 and 90.00 degrees. The asymmetric unit holds Pm at (0.000, 0.000, 0.239), Pm at (0.000, 0.326, 0.226), Hg at (0.000, 0.166, 0.500), Hg at (0.000, 0.500, 0.000), Hg at (0.000, 0.500, 0.500) and Rh at (0.000, 0.152, 0.000).

The value obtained for the energy above the most stable polymorph in this dataset is 0.00 eV/f.u. The value obtained for the energy relative to the elements is -0.55 eV per atom. The total magnetic moment is 0.0 Bohr magnetons per cell.

Entry 8:
DFT (GGA-PBE) results for a geometry-optimized ScCr2Br structure.

The space group is I-4m2 (No. 119) and the conventional cell measures 4.265, 4.265 and 8.430 Å, with angles of 90.00, 90.00 and 90.00 degrees. The asymmetric unit holds Sc at (0.000, 0.000, 0.000), Cr at (0.000, 0.000, 0.500), Cr at (0.000, 0.500, 0.250) and Br at (0.000, 0.500, 0.750).

The value obtained for the energy above the most stable polymorph in this dataset is 1.83 eV/f.u. Its energy relative to the elements, uncorrected is 0.4473 eV/atom. The total magnetic moment is 0.1 Bohr magnetons per cell.

Entry 9:
DFT (GGA-PBE) results for a geometry-optimized TbNdAu3 structure.

The space group is P2_1/c (No. 14) and the conventional cell measures 9.527, 6.448 and 7.717 Å, with angles of 90.00, 93.66 and 90.00 degrees. The asymmetric unit holds Tb at (0.073, 0.175, 0.323), Nd at (0.395, 0.650, 0.806), Au at (0.137, 0.610, 0.485), Au at (0.236, 0.011, 0.629) and Au at (0.378, 0.152, 0.960).

The value obtained for the energy relative to the elements is -0.77 eV per atom. The total magnetic moment is 0.0 Bohr magnetons per cell.

Entry 10:
DFT (GGA-PBE) results for a geometry-optimized Ba2Li15Hg2 structure.

The space group is R-3m (No. 166, hexagonal axes) and the conventional cell measures 10.2811, 10.2811 and 14.9846 Å, with angles of 90.00, 90.00 and 120.00 degrees. The asymmetric unit holds Ba at (0.0000, 0.0000, 0.1492), Li at (0.0000, 0.2700, 0.5000), Li at (0.0000, 0.5000, 0.0000), Li at (0.0264, 0.5132, 0.3475) and Hg at (0.0000, 0.0000, 0.3935).

The value obtained for the energy relative to the elements is -0.07 eV per atom. The total magnetic moment is 0.0 Bohr magnetons per cell.

Entry 11:
DFT (GGA-PBE) results for a geometry-optimized ZnTe2 structure.

The space group is C2/m (No. 12) and the conventional cell measures 13.610, 3.055 and 8.318 Å, with angles of 90.00, 94.49 and 90.00 degrees. The asymmetric unit holds Zn at (0.049, 0.000, 0.345), Te at (0.118, 0.500, 0.088) and Te at (0.139, 0.500, 0.624).

Its energy relative to the elements, uncorrected is 0.0650 eV/atom. The total magnetic moment is 0.0 Bohr magnetons per cell.

Entry 12:
DFT (GGA-PBE) results for a geometry-optimized Nd2Pu3Se8 structure.

The space group is C2/m (No. 12) and the conventional cell measures 14.673, 8.312 and 7.074 Å, with angles of 90.00, 109.31 and 90.00 degrees. The asymmetric unit holds Nd at (0.237, 0.000, 0.164), Pu at (0.000, 0.243, 0.500), Pu at (0.000, 0.500, 0.000), Se at (0.114, 0.500, 0.417), Se at (0.116, 0.000, 0.420) and Se at (0.122, 0.265, 0.910).

Its energy relative to the elements, uncorrected is -1.5203 eV/atom. The total magnetic moment is 28.0 Bohr magnetons per cell.

Look up the total magnetic moment of the fourth one.
0.0 Bohr magnetons per cell